Entry 1:
# NaAcCl2 (PBE, optimized geometry)
data_NaAcCl2
_symmetry_space_group_name_H-M 'P 1'
_symmetry_Int_Tables_number 1
_cell_length_a 8.373
_cell_length_b 8.373
_cell_length_c 8.373
_cell_angle_alpha 26.87
_cell_angle_beta 26.87
_cell_angle_gamma 26.87
loop_
_symmetry_equiv_pos_as_xyz
'x,y,z'
loop_
_atom_site_label
_atom_site_type_symbol
_atom_site_fract_x
_atom_site_fract_y
_atom_site_fract_z
Na1 Na 0.000 0.000 0.000
Ac1 Ac 0.500 0.500 0.500
Cl1 Cl 0.264 0.264 0.264
Cl2 Cl 0.736 0.736 0.736
# **Formation energy from raw total energies**: -153.9 kJ per mole of atoms
# **Space-group type**: R-3m, No. 166

***

Entry 2:
# NaAc2Cl8 (PBE, optimized geometry)
data_NaAc2Cl8
_symmetry_space_group_name_H-M 'P 1'
_symmetry_Int_Tables_number 1
_cell_length_a 9.207
_cell_length_b 9.207
_cell_length_c 7.877
_cell_angle_alpha 95.25
_cell_angle_beta 95.25
_cell_angle_gamma 28.59
loop_
_symmetry_equiv_pos_as_xyz
'x,y,z'
loop_
_atom_site_label
_atom_site_type_symbol
_atom_site_fract_x
_atom_site_fract_y
_atom_site_fract_z
Na1 Na 0.000 0.000 0.000
Ac1 Ac 0.313 0.313 0.270
Ac2 Ac 0.687 0.687 0.730
Cl1 Cl 0.100 0.100 0.573
Cl2 Cl 0.175 0.175 0.996
Cl3 Cl 0.294 0.294 0.651
Cl4 Cl 0.479 0.479 0.173
Cl5 Cl 0.521 0.521 0.827
Cl6 Cl 0.706 0.706 0.349
Cl7 Cl 0.825 0.825 0.004
Cl8 Cl 0.900 0.900 0.427
# **Formation energy from raw total energies**: -196.4 kJ per mole of atoms
# **Space-group type**: C2/m, No. 12

***

Entry 3:
# NaAcCl4 (PBE, optimized geometry)
data_NaAcCl4
_symmetry_space_group_name_H-M 'P 1'
_symmetry_Int_Tables_number 1
_cell_length_a 8.578
_cell_length_b 8.578
_cell_length_c 8.578
_cell_angle_alpha 131.69
_cell_angle_beta 131.69
_cell_angle_gamma 70.72
loop_
_symmetry_equiv_pos_as_xyz
'x,y,z'
loop_
_atom_site_label
_atom_site_type_symbol
_atom_site_fract_x
_atom_site_fract_y
_atom_site_fract_z
Na1 Na 0.375 0.625 0.750
Na2 Na 0.625 0.375 0.250
Ac1 Ac 0.125 0.875 0.250
Ac2 Ac 0.875 0.125 0.750
Cl1 Cl 0.000 0.244 0.244
Cl2 Cl 0.000 0.756 0.756
Cl3 Cl 0.244 0.000 0.744
Cl4 Cl 0.244 0.500 0.244
Cl5 Cl 0.500 0.244 0.744
Cl6 Cl 0.500 0.756 0.256
Cl7 Cl 0.756 0.000 0.256
Cl8 Cl 0.756 0.500 0.756
# **Formation energy from raw total energies**: -215.0 kJ per mole of atoms
# **Offset from the most stable computed form**: 0.0 meV/atom
# **Space-group type**: I4_1/amd, No. 141

***

Entry 4:
# NaAcCl4 (PBE, optimized geometry)
data_NaAcCl4
_symmetry_space_group_name_H-M 'P 1'
_symmetry_Int_Tables_number 1
_cell_length_a 5.753
_cell_length_b 9.249
_cell_length_c 8.444
_cell_angle_alpha 90.00
_cell_angle_beta 109.43
_cell_angle_gamma 90.00
loop_
_symmetry_equiv_pos_as_xyz
'x,y,z'
loop_
_atom_site_label
_atom_site_type_symbol
_atom_site_fract_x
_atom_site_fract_y
_atom_site_fract_z
Na1 Na 0.247 0.250 0.472
Na2 Na 0.753 0.750 0.528
Ac1 Ac 0.051 0.750 0.107
Ac2 Ac 0.949 0.250 0.893
Cl1 Cl 0.115 0.063 0.198
Cl2 Cl 0.115 0.437 0.198
Cl3 Cl 0.223 0.750 0.468
Cl4 Cl 0.421 0.250 0.836
Cl5 Cl 0.579 0.750 0.164
Cl6 Cl 0.777 0.250 0.532
Cl7 Cl 0.885 0.563 0.802
Cl8 Cl 0.885 0.937 0.802
# **Formation energy from raw total energies**: -212.3 kJ per mole of atoms
# **Offset from the most stable computed form**: 27.4 meV/atom
# **Space-group type**: P2_1/m, No. 11

***

Entry 5:
# Na3AcCl6 (PBE, optimized geometry)
data_Na3AcCl6
_symmetry_space_group_name_H-M 'P 1'
_symmetry_Int_Tables_number 1
_cell_length_a 7.314
_cell_length_b 7.388
_cell_length_c 12.901
_cell_angle_alpha 90.00
_cell_angle_beta 123.44
_cell_angle_gamma 90.00
loop_
_symmetry_equiv_pos_as_xyz
'x,y,z'
loop_
_atom_site_label
_atom_site_type_symbol
_atom_site_fract_x
_atom_site_fract_y
_atom_site_fract_z
Na1 Na 0.000 0.000 0.000
Na2 Na 0.000 0.500 0.500
Na3 Na 0.223 0.051 0.724
Na4 Na 0.223 0.449 0.224
Na5 Na 0.777 0.551 0.776
Na6 Na 0.777 0.949 0.276
Ac1 Ac 0.500 0.000 0.500
Ac2 Ac 0.500 0.500 0.000
Cl1 Cl 0.107 0.175 0.446
Cl2 Cl 0.107 0.325 0.946
Cl3 Cl 0.230 0.678 0.405
Cl4 Cl 0.230 0.822 0.905
Cl5 Cl 0.398 0.096 0.256
Cl6 Cl 0.398 0.404 0.756
Cl7 Cl 0.602 0.596 0.244
Cl8 Cl 0.602 0.904 0.744
Cl9 Cl 0.770 0.178 0.095
Cl10 Cl 0.770 0.322 0.595
Cl11 Cl 0.893 0.675 0.054
Cl12 Cl 0.893 0.825 0.554
# **Formation energy from raw total energies**: -194.8 kJ per mole of atoms
# **Offset from the most stable computed form**: 3.8 meV/atom
# **Space-group type**: P2_1/c, No. 14

***

Entry 6:
# Na2AcClO2 (PBE, optimized geometry)
data_Na2AcClO2
_symmetry_space_group_name_H-M 'P 1'
_symmetry_Int_Tables_number 1
_cell_length_a 4.773
_cell_length_b 4.773
_cell_length_c 6.355
_cell_angle_alpha 90.00
_cell_angle_beta 90.00
_cell_angle_gamma 90.00
loop_
_symmetry_equiv_pos_as_xyz
'x,y,z'
loop_
_atom_site_label
_atom_site_type_symbol
_atom_site_fract_x
_atom_site_fract_y
_atom_site_fract_z
Na1 Na 0.000 0.000 0.207
Na2 Na 0.000 0.000 0.793
Ac1 Ac 0.500 0.500 0.000
Cl1 Cl 0.500 0.500 0.500
O1 O 0.000 0.500 0.000
O2 O 0.500 0.000 0.000
# **Formation energy from raw total energies**: -196.3 kJ per mole of atoms
# **Space-group type**: P4/mmm, No. 123

***

Entry 7:
# NaAcClO2 (PBE, optimized geometry)
data_NaAcClO2
_symmetry_space_group_name_H-M 'P 1'
_symmetry_Int_Tables_number 1
_cell_length_a 7.549
_cell_length_b 7.549
_cell_length_c 7.549
_cell_angle_alpha 148.22
_cell_angle_beta 148.22
_cell_angle_gamma 45.56
loop_
_symmetry_equiv_pos_as_xyz
'x,y,z'
loop_
_atom_site_label
_atom_site_type_symbol
_atom_site_fract_x
_atom_site_fract_y
_atom_site_fract_z
Na1 Na 0.000 0.000 0.000
Ac1 Ac 0.330 0.330 0.000
Cl1 Cl 0.708 0.708 0.000
O1 O 0.419 0.919 0.500
O2 O 0.919 0.419 0.500
# **Formation energy from raw total energies**: -199.9 kJ per mole of atoms
# **Space-group type**: I4mm, No. 107

***

Entry 8:
# NaAcPCl (PBE, optimized geometry)
data_NaAcPCl
_symmetry_space_group_name_H-M 'P 1'
_symmetry_Int_Tables_number 1
_cell_length_a 6.015
_cell_length_b 5.132
_cell_length_c 5.132
_cell_angle_alpha 59.74
_cell_angle_beta 90.00
_cell_angle_gamma 90.00
loop_
_symmetry_equiv_pos_as_xyz
'x,y,z'
loop_
_atom_site_label
_atom_site_type_symbol
_atom_site_fract_x
_atom_site_fract_y
_atom_site_fract_z
Na1 Na 0.000 0.000 0.000
Ac1 Ac 0.500 0.668 0.668
P1 P 0.500 0.000 0.000
Cl1 Cl 0.000 0.668 0.668
# **Formation energy from raw total energies**: -132.3 kJ per mole of atoms
# **Space-group type**: Amm2, No. 38

***

Entry 9:
# NaAcPbCl6 (PBE, optimized geometry)
data_NaAcPbCl6
_symmetry_space_group_name_H-M 'P 1'
_symmetry_Int_Tables_number 1
_cell_length_a 6.748
_cell_length_b 6.748
_cell_length_c 13.287
_cell_angle_alpha 90.00
_cell_angle_beta 90.00
_cell_angle_gamma 90.00
loop_
_symmetry_equiv_pos_as_xyz
'x,y,z'
loop_
_atom_site_label
_atom_site_type_symbol
_atom_site_fract_x
_atom_site_fract_y
_atom_site_fract_z
Na1 Na 0.000 0.000 0.000
Na2 Na 0.500 0.500 0.500
Ac1 Ac 0.000 0.000 0.666
Ac2 Ac 0.500 0.500 0.166
Pb1 Pb 0.000 0.000 0.333
Pb2 Pb 0.500 0.500 0.833
Cl1 Cl 0.194 0.194 0.834
Cl2 Cl 0.196 0.196 0.164
Cl3 Cl 0.197 0.197 0.501
Cl4 Cl 0.303 0.697 0.001
Cl5 Cl 0.304 0.696 0.664
Cl6 Cl 0.306 0.694 0.334
Cl7 Cl 0.694 0.306 0.334
Cl8 Cl 0.696 0.304 0.664
Cl9 Cl 0.697 0.303 0.001
Cl10 Cl 0.803 0.803 0.501
Cl11 Cl 0.804 0.804 0.164
Cl12 Cl 0.806 0.806 0.834
# **Formation energy from raw total energies**: -179.0 kJ per mole of atoms
# **Space-group type**: P4_2nm, No. 102

***

Entry 10:
# RbNa2AcCl6 (PBE, optimized geometry)
data_RbNa2AcCl6
_symmetry_space_group_name_H-M 'P 1'
_symmetry_Int_Tables_number 1
_cell_length_a 7.949
_cell_length_b 7.949
_cell_length_c 7.949
_cell_angle_alpha 55.98
_cell_angle_beta 55.98
_cell_angle_gamma 55.98
loop_
_symmetry_equiv_pos_as_xyz
'x,y,z'
loop_
_atom_site_label
_atom_site_type_symbol
_atom_site_fract_x
_atom_site_fract_y
_atom_site_fract_z
Rb1 Rb 0.000 0.000 0.000
Na1 Na 0.281 0.281 0.281
Na2 Na 0.792 0.792 0.792
Ac1 Ac 0.483 0.483 0.483
Cl1 Cl 0.072 0.627 0.453
Cl2 Cl 0.188 0.554 0.891
Cl3 Cl 0.453 0.072 0.627
Cl4 Cl 0.554 0.891 0.188
Cl5 Cl 0.627 0.453 0.072
Cl6 Cl 0.891 0.188 0.554
# **Formation energy from raw total energies**: -200.9 kJ per mole of atoms
# **Space-group type**: R3, No. 146

***

Results for spin magnetization: 0.00; 1.03; 0.00; 0.06; 0.00; 0.00; 1.00; 0.00; 0.00; 0.00 (in μB per cell, following the order of the records).
Results for density: 5041; 3971; 3774; 3071; 2904; 3904; 4434; 3841; 3677; 2944 (in kg/m3, following the order of the records).